#i
The following is a DFT calculation (PBE) of a relaxed structure of Pr4DyTh.

The structure belongs to space group P6/mmm (No. 191); the cell edges are 5.7902, 5.7902 and 7.1109 Å and the angles 90.00°, 90.00° and 120.00°. Symmetry generates all atoms from Pr at (0.3333, 0.6667, 0.2464), Dy at (0.0000, 0.0000, 0.0000) and Th at (0.0000, 0.0000, 0.5000).

The volume comes out at 206.5 Å³ per cell.



#ii
The following is a DFT calculation (PBE) of a relaxed structure of Pr4DyTh.

The structure belongs to space group P-1 (No. 2); the cell edges are 3.652, 6.344 and 9.692 Å and the angles 77.23°, 79.25° and 73.74°. Symmetry generates all atoms from Pr at (0.162, 0.005, 0.172), Pr at (0.164, 0.507, 0.664), Dy at (0.500, 0.500, 0.000) and Th at (0.500, 0.000, 0.500).

The volume comes out at 208.4 Å³ per cell.



Energies relative to the most stable structure, in eV/atom: #i 0.028; #ii 0.000.